# 1
Computed, not measured: a crystal of Al2ZnCl2 relaxed with PBEsol at the meta-GGA SCAN level of DFT.

Uncorrected formation energy (kJ/mol of atoms): -4
Density of states at the Fermi level (states/eV per cell): 0.7

Cell lengths 8.647, 8.647, 3.173 Å; angles 90.00, 90.00, 90.00 degrees
Space group P4/mbm (No. 127)
One atom of each set of equivalent atoms:
Al 0.227 0.273 0.000 (multiplicity 4)
Zn 0.000 0.000 0.500 (multiplicity 2)
Cl 0.127 0.627 0.500 (multiplicity 4)

# 2
Computed, not measured: a crystal of Sr2LiTl relaxed with PBEsol at the meta-GGA SCAN level of DFT.

Energy relative to the elements (eV per atom): -0.255
Relative energy among the computed polymorphs (kJ per mole of atoms): 11.0
Density of states at the Fermi level (states/eV per cell): 2.4

Cell lengths 3.963, 3.963, 8.748 Å; angles 90.00, 90.00, 90.00 degrees
Space group P4mm (No. 99)
One atom of each set of equivalent atoms:
Sr 0.000 0.000 0.000 (multiplicity 1)
Sr 0.500 0.500 0.367 (multiplicity 1)
Li 0.500 0.500 0.747 (multiplicity 1)
Tl 0.000 0.000 0.606 (multiplicity 1)

In order of appearance, magnetic moment = 0.00 0.03 Bohr magnetons per cell.